A relaxed Cs3HoCu2Br9 crystal, computed with PBE-GGA.

Output
ρ: 4.77 g/cm3
uncorrected formation energy: -1310 meV/atom
SG: P-3m1, No. 164

Cell and atoms, written as extended XYZ:
```
15
Lattice="-0.198 -0.643 -7.682 -6.471 -0.845 4.108 -1.691 9.350 -0.739" Properties=species:S:1:pos:R:3 pbc="T T T"
Br -2.398 5.586 -6.170
Br -5.961 2.276 1.857
Br -3.235 -0.423 2.054
Br -2.794 2.689 -0.153
Br -0.099 -0.321 -3.841
Br -5.565 5.172 -4.160
Br -2.301 5.901 -2.411
Br -3.334 -0.744 -1.787
Br -6.058 1.961 -1.902
Cu -3.756 7.402 -4.393
Cu -4.604 0.460 0.080
Cs 0.000 0.000 0.000
Cs -2.846 2.368 -3.995
Cs -5.514 5.494 -0.318
Ho -0.845 4.675 -0.370
```